LiAg2Pd, optimized geometry, DFT PBE-GGA; energy of formation from the pure elements = -0.193 eV/atom; calculated total energy = -3.396 eV/atom; N(E_F) = 3.34 states/eV/cell; density = 8.35 g cm⁻³; distance to the lowest polymorph of the same formula = 33.1 meV/atom
1.0
6.398 0.000 0.000
0.000 6.398 0.000
0.000 0.000 6.398
Li Ag Pd
4 8 4
direct
0.000 0.000 0.000
0.000 0.500 0.500
0.500 0.000 0.500
0.500 0.500 0.000
0.250 0.250 0.250
0.250 0.250 0.750
0.250 0.750 0.250
0.250 0.750 0.750
0.750 0.250 0.250
0.750 0.250 0.750
0.750 0.750 0.250
0.750 0.750 0.750
0.000 0.000 0.500
0.000 0.500 0.000
0.500 0.000 0.000
0.500 0.500 0.500


Ta2IrRh2, optimized geometry, DFT PBE-GGA; energy of formation from the pure elements = -0.143 eV/atom; calculated total energy = -9.597 eV/atom; N(E_F) = 10.03 states/eV/cell; density = 15.16 g cm⁻³; distance to the lowest polymorph of the same formula = 207.1 meV/atom
1.0
7.418 0.000 0.000
0.000 7.418 0.000
0.000 0.000 3.024
Ta Ir Rh
4 2 4
direct
0.164 0.336 0.000
0.336 0.836 0.000
0.664 0.164 0.000
0.836 0.664 0.000
0.000 0.000 0.000
0.500 0.500 0.000
0.133 0.633 0.500
0.367 0.133 0.500
0.633 0.867 0.500
0.867 0.367 0.500


HoTeCl, optimized geometry, DFT PBE-GGA; formation energy (no corrections) = -1.689 eV per atom; calculated total energy = -4.878 eV/atom; density = 5.08 g cm⁻³
1.0
7.096 0.000 0.000
0.000 4.224 0.000
-0.914 0.000 7.150
Ho Te Cl
2 2 2
direct
0.000 0.000 0.000
0.500 0.500 0.000
0.202 0.500 0.255
0.798 0.500 0.745
0.317 0.000 0.808
0.683 0.000 0.192


Ho3Zn4Co2, optimized geometry, DFT PBE-GGA; energy of formation from the pure elements = -0.283 eV/atom; calculated total energy = -3.955 eV/atom; N(E_F) = 5.74 states/eV/cell; density = 8.69 g cm⁻³
1.0
5.363 -2.065 0.000
5.363 2.065 0.000
-3.612 0.000 7.542
Ho Zn Co
3 4 2
direct
0.000 0.000 0.000
0.312 0.312 0.362
0.688 0.688 0.638
0.025 0.025 0.361
0.283 0.283 0.941
0.717 0.717 0.059
0.975 0.975 0.639
0.401 0.401 0.740
0.599 0.599 0.260


LiNdHoTl, optimized geometry, DFT PBE-GGA; energy of formation from the pure elements = -0.191 eV/atom; calculated total energy = -3.598 eV/atom; N(E_F) = 16.53 states/eV/cell; density = 7.92 g cm⁻³
1.0
7.585 0.000 0.000
0.000 7.585 0.000
0.000 0.000 7.585
Li Nd Ho Tl
4 4 4 4
direct
0.000 0.000 0.000
0.000 0.500 0.500
0.500 0.000 0.500
0.500 0.500 0.000
0.250 0.250 0.250
0.250 0.750 0.750
0.750 0.250 0.750
0.750 0.750 0.250
0.250 0.250 0.750
0.250 0.750 0.250
0.750 0.250 0.250
0.750 0.750 0.750
0.000 0.000 0.500
0.000 0.500 0.000
0.500 0.000 0.000
0.500 0.500 0.500


Nd4Sm2Th, optimized geometry, DFT PBE-GGA; energy of formation from the pure elements = 0.082 eV/atom; calculated total energy = -5.051 eV/atom; N(E_F) = 9.52 states/eV/cell; density = 7.52 g cm⁻³; distance to the lowest polymorph of the same formula = 0.0 meV/atom
1.0
1.810 1.045 21.595
-1.810 1.045 21.595
0.000 -2.090 21.595
Nd Sm Th
4 2 1
direct
0.142 0.142 0.142
0.289 0.289 0.289
0.711 0.711 0.711
0.858 0.858 0.858
0.236 0.236 0.236
0.764 0.764 0.764
0.000 0.000 0.000